Record 1
Material: BeTeSe2
Method: DFT, GGA-PBE
State: optimized geometry

Total DFT energy (no corrections), eV per atom: -2.755
Polymorph energy (0 for the lowest one), meV per atom: 811
Crystal system: cubic
Formation energy without anion corrections, meV/atom: 704

a b c (Å): 6.8450 6.8450 6.8450
angles (deg): 90.00 90.00 90.00
With the nearest neighbours (Å) after each atom.
Space group F-43m (No. 216)
Unique sites:
Be: 0.0000 0.0000 0.0000 x4  4 Se 2.96, 4 Te 2.96
Te: 0.2500 0.2500 0.2500 x4  4 Se 2.96, 4 Be 2.96
Se: 0.0000 0.0000 0.5000 x4  4 Se 2.96, 4 Te 2.96
Se: 0.2500 0.2500 0.7500 x4  4 Se 2.96, 4 Be 2.96


Record 2
Material: BeTeSe2
Method: DFT, GGA-PBE
State: optimized geometry

Total DFT energy (no corrections), eV per atom: -3.444
Polymorph energy (0 for the lowest one), meV per atom: 122
Crystal system: monoclinic
Formation energy without anion corrections, meV/atom: 15

a b c (Å): 4.7242 3.3877 5.6421
angles (deg): 90.00 109.26 90.00
With the nearest neighbours (Å) after each atom.
Space group P2/m (No. 10)
Unique sites:
Be: 0.0000 0.0000 0.0000 x1  4 Se 2.35
Te: 0.0000 0.0000 0.5000 x1  2 Be 2.82
Se: 0.3609 0.5000 0.1471 x2  2 Be 2.35, 1 Se 2.43


Record 3
Material: BeTeSe2
Method: DFT, GGA-PBE
State: optimized geometry

Total DFT energy (no corrections), eV per atom: -3.272
Polymorph energy (0 for the lowest one), meV per atom: 294
Crystal system: tetragonal
Formation energy without anion corrections, meV/atom: 187

a b c (Å): 5.7939 5.7939 5.2061
angles (deg): 90.00 90.00 90.00
With the nearest neighbours (Å) after each atom.
Space group I4/mmm (No. 139)
Unique sites:
Be: 0.0000 0.0000 0.0000 x2  2 Te 2.60, 4 Se 2.90
Te: 0.0000 0.0000 0.5000 x2  2 Be 2.60, 4 Se 2.90
Se: 0.0000 0.5000 0.0000 x4  2 Se 2.60, 2 Te 2.90, 2 Be 2.90


Record 4
Material: Be2TeSe
Method: DFT, GGA-PBE
State: optimized geometry

Total DFT energy (no corrections), eV per atom: -3.265
Polymorph energy (0 for the lowest one), meV per atom: 814
Crystal system: orthorhombic
Formation energy without anion corrections, meV/atom: 254

a b c (Å): 3.3094 3.4905 12.3276
angles (deg): 90.00 90.00 90.00
With the nearest neighbours (Å) after each atom.
Space group Imm2 (No. 44)
Unique sites:
Be: 0.0000 0.0000 0.0000 x2  4 Se 2.56, 2 Te 2.80
Be: 0.0000 0.5000 0.2063 x2  2 Se 2.34
Te: 0.0000 0.5000 0.8226 x2  6 Be 2.80
Se: 0.0000 0.0000 0.5723 x2  6 Be 2.34-2.56


Record 5
Material: BeTeSe2
Method: DFT, GGA-PBE
State: optimized geometry

Total DFT energy (no corrections), eV per atom: -2.838
Polymorph energy (0 for the lowest one), meV per atom: 728
Crystal system: cubic
Formation energy without anion corrections, meV/atom: 621

a b c (Å): 6.8591 6.8591 6.8591
angles (deg): 90.00 90.00 90.00
With the nearest neighbours (Å) after each atom.
Space group Fm-3m (No. 225)
Unique sites:
Be: 0.0000 0.0000 0.0000 x4  8 Se 2.97
Te: 0.0000 0.0000 0.5000 x4  8 Se 2.97
Se: 0.2500 0.2500 0.2500 x8  4 Te 2.97, 4 Be 2.97


Record 6
Material: Be2TeSe
Method: DFT, GGA-PBE
State: optimized geometry

Total DFT energy (no corrections), eV per atom: -3.325
Polymorph energy (0 for the lowest one), meV per atom: 755
Crystal system: orthorhombic
Formation energy without anion corrections, meV/atom: 195

a b c (Å): 3.3533 6.9879 8.8117
angles (deg): 90.00 90.00 90.00
With the nearest neighbours (Å) after each atom.
Space group Immm (No. 71)
Unique sites:
Be: 0.0000 0.2197 0.0000 x4  2 Se 2.27
Te: 0.0000 0.0000 0.5000 x2  4 Be 2.58
Se: 0.0000 0.5000 0.5000 x2  4 Be 2.27